Entry 1:
CuTc2Hg (PBE-GGA, relaxed); total energy = -5.750 eV/atom; spin magnetization = 0.000 μB per atom; crystal system = orthorhombic; energy of formation = 0.5321 eV/atom
1.0
3.277 0.000 0.000
0.000 4.115 0.000
0.000 0.000 4.618
Cu Hg Tc
1 1 2
Direct
0.500 0.000 0.500
0.000 0.500 0.500
0.000 0.000 0.000
0.500 0.500 0.000


Entry 2:
Sr3Hg12Pb (PBE-GGA, relaxed); total energy = -1.077 eV/atom; spin magnetization = 0.000 μB per atom; crystal system = tetragonal; energy of formation = -0.3032 eV/atom
1.0
-3.255 3.534 0.898
-3.366 -3.375 1.081
5.415 0.390 18.085
Sr Hg Pb
3 12 1
Direct
0.000 0.000 0.242
0.000 0.000 0.500
0.000 0.000 0.758
0.500 0.500 0.000
0.500 0.500 0.245
0.500 0.500 0.500
0.500 0.500 0.755
0.500 0.000 0.119
0.500 0.000 0.373
0.500 0.000 0.627
0.500 0.000 0.881
0.000 0.500 0.119
0.000 0.500 0.373
0.000 0.500 0.627
0.000 0.500 0.881
0.000 0.000 0.000


Entry 3:
SrSb (PBE-GGA, relaxed); total energy = -3.246 eV/atom; spin magnetization = 0.000 μB per atom; crystal system = cubic; formation energy from raw total energies = -0.344 eV per atom
1.0
5.705 0.000 0.000
2.853 4.941 0.000
2.853 1.647 4.659
Sb Sr
2 2
Direct
0.000 0.000 0.000
0.250 0.250 0.250
0.500 0.500 0.500
0.750 0.750 0.750


Entry 4:
Ho2Zr2Sb2C (PBE-GGA, relaxed); total energy = -7.061 eV/atom; spin magnetization = 0.000 μB per atom; crystal system = tetragonal; formation energy from raw total energies = -0.815 eV per atom
1.0
-2.383 -0.545 -3.784
2.879 -3.189 -1.354
-4.640 -3.609 6.123
Ho Zr Sb C
2 2 2 1
Direct
0.161 0.161 0.323
0.839 0.839 0.677
0.000 0.500 0.000
0.500 0.000 0.000
0.361 0.361 0.721
0.639 0.639 0.279
0.000 0.000 0.000


- Which value of spin magnetization does entry 2 give?
  0.000 μB per atom


- spin magnetization of number 1 (CuTc2Hg)?
  0.000 μB per atom


- Number 1 is which compound?
  CuTc2Hg